Arrangement w

The following is a DFT calculation (GGA-PBE) of Pd2RuF after structural relaxation.

Geometry as POSCAR:
```
Pd2RuF
1.0
-3.3729 3.3729 2.6936
3.3729 -3.3729 2.6936
3.3729 3.3729 -2.6936
Pd Ru F
4 2 2
direct
0.1000 0.6250 0.9750
0.3750 0.3500 0.4750
0.6500 0.1250 0.0250
0.8750 0.9000 0.5250
0.2500 0.7500 0.5000
0.5000 0.5000 0.0000
0.0000 0.0000 0.0000
0.7500 0.2500 0.5000
```

Values from the calculation:
- DOS(E_F) (states/eV/f.u.) = 3.547
- calculated volume (A^3/atom) = 15.32

=====

Arrangement x

The following is a DFT calculation (GGA-PBE) of Pd2RuF after structural relaxation.

Geometry as POSCAR:
```
Pd2RuF
1.0
0.0000 3.0567 3.0567
3.0567 0.0000 3.0567
3.0567 3.0567 0.0000
Pd Ru F
2 1 1
direct
0.2500 0.2500 0.2500
0.7500 0.7500 0.7500
0.0000 0.0000 0.0000
0.5000 0.5000 0.5000
```

Values from the calculation:
- DOS(E_F) (states/eV/f.u.) = 4.908
- calculated volume (A^3/atom) = 14.28

=====

Which of them is the most stable? Correct choice: arrangement x.